(1)
Below is TlCrMo after structural relaxation, with properties calculated at the GGA-PBE level.

Output
Space-group type: P3m1 (156)

Unit cell a=3.0759 b=3.0759 c=6.5936 alpha=90.00 beta=90.00 gamma=120.00
Positions (direct):
Cr1 0.0000 0.0000 0.0399
Mo1 0.6667 0.3333 0.2850
Tl1 0.3333 0.6667 0.6751



(2)
Below is TlCr2Mo after structural relaxation, with properties calculated at the GGA-PBE level.

Output
Space-group type: R-3m (166)

Unit cell a=8.6804 b=8.6804 c=8.6804 alpha=20.24 beta=20.24 gamma=20.24
Positions (direct):
Cr1 0.9891 0.9891 0.9891
Cr2 0.5109 0.5109 0.5109
Mo1 0.2500 0.2500 0.2500
Tl1 0.7500 0.7500 0.7500



(3)
Below is TlCrMo2 after structural relaxation, with properties calculated at the GGA-PBE level.

Output
Space-group type: F-43m (216)

Unit cell a=4.5731 b=4.5731 c=4.5731 alpha=60.00 beta=60.00 gamma=60.00
Positions (direct):
Cr1 0.5000 0.5000 0.5000
Mo1 0.0000 0.0000 0.0000
Mo2 0.2500 0.2500 0.2500
Tl1 0.7500 0.7500 0.7500



(4)
Below is TlCr2Mo after structural relaxation, with properties calculated at the GGA-PBE level.

Output
Space-group type: C2/m (12)

Unit cell a=5.1652 b=5.1652 c=2.7506 alpha=79.01 beta=79.01 gamma=114.70
Positions (direct):
Cr1 0.0000 0.0000 0.0000
Cr2 0.5000 0.5000 0.0000
Mo1 0.5000 0.0000 0.5000
Tl1 0.0000 0.5000 0.5000



(5)
Below is TlCrMo2 after structural relaxation, with properties calculated at the GGA-PBE level.

Output
Space-group type: Pmmm (47)

Unit cell a=3.4582 b=4.3194 c=4.4973 alpha=90.00 beta=90.00 gamma=90.00
Positions (direct):
Cr1 0.0000 0.5000 0.5000
Mo1 0.0000 0.0000 0.0000
Mo2 0.5000 0.5000 0.0000
Tl1 0.5000 0.0000 0.5000



(6)
Below is TlCrMo2 after structural relaxation, with properties calculated at the GGA-PBE level.

Output
Space-group type: P2/m (10)

Unit cell a=4.0068 b=2.9272 c=6.1705 alpha=68.94 beta=90.00 gamma=90.00
Positions (direct):
Cr1 0.5000 0.7500 0.7500
Mo1 0.0000 0.9540 0.9499
Mo2 0.0000 0.5460 0.5501
Tl1 0.5000 0.2500 0.2500



(7)
Below is TlCrMo2 after structural relaxation, with properties calculated at the GGA-PBE level.

Output
Space-group type: P4mm (99)

Unit cell a=3.2830 b=3.2829 c=6.2306 alpha=90.00 beta=90.00 gamma=90.00
Positions (direct):
Cr1 0.5000 0.5000 0.7948
Mo1 0.0000 0.0000 0.9891
Mo2 0.5000 0.5000 0.2063
Tl1 0.0000 0.0000 0.5098



(8)
Below is TlCrMo2 after structural relaxation, with properties calculated at the GGA-PBE level.

Output
Space-group type: P4/mmm (123)

Unit cell a=2.9520 b=2.9520 c=7.6859 alpha=90.00 beta=90.00 gamma=90.00
Positions (direct):
Cr1 0.5000 0.5000 0.7500
Mo1 0.0000 0.0000 0.9468
Mo2 0.0000 0.0000 0.5532
Tl1 0.5000 0.5000 0.2500



(9)
Below is TlCr2Mo after structural relaxation, with properties calculated at the GGA-PBE level.

Output
Space-group type: P4mm (99)

Unit cell a=3.1695 b=3.1699 c=6.2922 alpha=90.00 beta=90.00 gamma=90.00
Positions (direct):
Cr1 0.0000 0.0000 0.0622
Cr2 0.5000 0.5000 0.2346
Mo1 0.0000 0.0000 0.4403
Tl1 0.5000 0.5000 0.7629



(10)
Below is TlCr4Mo after structural relaxation, with properties calculated at the GGA-PBE level.

Output
Space-group type: F-43m (216)

Unit cell a=4.9024 b=4.9024 c=4.9024 alpha=60.00 beta=60.00 gamma=60.00
Positions (direct):
Tl1 0.0000 0.0000 0.0000
Cr1 0.8746 0.3751 0.3751
Cr2 0.3751 0.3751 0.8746
Cr3 0.3751 0.8746 0.3751
Cr4 0.3751 0.3751 0.3751
Mo1 0.7500 0.7500 0.7500



(11)
Below is TlCr2Mo after structural relaxation, with properties calculated at the GGA-PBE level.

Output
Space-group type: Cmmm (65)

Unit cell a=2.8246 b=2.8246 c=8.6272 alpha=90.00 beta=90.00 gamma=112.21
Positions (direct):
Cr1 0.0000 0.0000 0.0252
Cr2 0.0000 0.0000 0.4748
Mo1 0.5000 0.5000 0.2500
Tl1 0.5000 0.5000 0.7500



(12)
Below is TlCr2Mo after structural relaxation, with properties calculated at the GGA-PBE level.

Output
Space-group type: Pm (6)

Unit cell a=3.7557 b=2.9427 c=6.2623 alpha=68.35 beta=90.00 gamma=90.00
Positions (direct):
Cr1 0.0000 0.0368 0.0645
Cr2 0.5000 0.2384 0.2385
Mo1 0.0000 0.4797 0.4381
Tl1 0.5000 0.7450 0.7590



(13)
Below is TlCrMo2 after structural relaxation, with properties calculated at the GGA-PBE level.

Output
Space-group type: R-3m (166)

Unit cell a=8.7319 b=8.7319 c=8.7319 alpha=20.02 beta=20.02 gamma=20.02
Positions (direct):
Cr1 0.7500 0.7500 0.7500
Mo1 0.0139 0.0139 0.0139
Mo2 0.4861 0.4861 0.4861
Tl1 0.2500 0.2500 0.2500



(14)
Below is TlCrMo4 after structural relaxation, with properties calculated at the GGA-PBE level.

Output
Space-group type: F-43m (216)

Unit cell a=5.2790 b=5.2790 c=5.2790 alpha=60.00 beta=60.00 gamma=60.00
Positions (direct):
Tl1 0.7500 0.7500 0.7500
Cr1 0.0000 0.0000 0.0000
Mo1 0.8734 0.3755 0.3755
Mo2 0.3755 0.3755 0.8734
Mo3 0.3755 0.8734 0.3755
Mo4 0.3755 0.3755 0.3755



(15)
Below is TlCr2Mo after structural relaxation, with properties calculated at the GGA-PBE level.

Output
Space-group type: I-42d (122)

Unit cell a=7.0765 b=7.0765 c=5.7072 alpha=51.69 beta=51.69 gamma=90.00
Positions (direct):
Cr1 0.5758 0.1250 0.2500
Cr2 0.1742 0.6250 0.2500
Cr3 0.3750 0.4242 0.7500
Cr4 0.8750 0.8258 0.7500
Tl1 0.0000 0.0000 0.0000
Tl2 0.7500 0.2500 0.5000
Mo1 0.5000 0.5000 0.0000
Mo2 0.2500 0.7500 0.5000



(16)
Below is TlCrMo after structural relaxation, with properties calculated at the GGA-PBE level.

Output
Space-group type: I4mm (107)

Unit cell a=5.5510 b=5.5510 c=5.5510 alpha=146.71 beta=146.71 gamma=47.80
Positions (direct):
Cr1 0.9773 0.9773 0.0000
Mo1 0.3600 0.3600 0.0000
Tl1 0.6627 0.6627 0.0000



(17)
Below is TlCr2Mo after structural relaxation, with properties calculated at the GGA-PBE level.

Output
Space-group type: F-43m (216)

Unit cell a=4.5321 b=4.5321 c=4.5321 alpha=60.00 beta=60.00 gamma=60.00
Positions (direct):
Cr1 0.0000 0.0000 0.0000
Cr2 0.7500 0.7500 0.7500
Mo1 0.5000 0.5000 0.5000
Tl1 0.2500 0.2500 0.2500



(18)
Below is TlCr2Mo after structural relaxation, with properties calculated at the GGA-PBE level.

Output
Space-group type: Cmm2 (35)

Unit cell a=2.8111 b=2.8111 c=8.6578 alpha=90.00 beta=90.00 gamma=112.14
Positions (direct):
Cr1 0.0000 0.0000 0.0378
Cr2 0.5000 0.5000 0.2352
Mo1 0.0000 0.0000 0.4662
Tl1 0.5000 0.5000 0.7608



(19)
Below is TlCrMo2 after structural relaxation, with properties calculated at the GGA-PBE level.

Output
Space-group type: Cmmm (65)

Unit cell a=4.5754 b=4.5754 c=3.2243 alpha=90.00 beta=90.00 gamma=103.57
Positions (direct):
Cr1 0.0000 0.5000 0.5000
Mo1 0.0000 0.0000 0.0000
Mo2 0.5000 0.5000 0.0000
Tl1 0.5000 0.0000 0.5000



(20)
Below is TlCrMo2 after structural relaxation, with properties calculated at the GGA-PBE level.

Output
Space-group type: Fm-3m (225)

Unit cell a=4.5274 b=4.5274 c=4.5274 alpha=60.00 beta=60.00 gamma=60.00
Positions (direct):
Cr1 0.0000 0.0000 0.0000
Tl1 0.5000 0.5000 0.5000
Mo1 0.2500 0.2500 0.2500
Mo2 0.7500 0.7500 0.7500



Number 1: calculated formation energy 0.614 eV per atom. Number 2: calculated formation energy 0.654 eV per atom. Number 3: calculated formation energy 0.604 eV per atom. Number 4: calculated formation energy 0.812 eV per atom. Number 5: calculated formation energy 0.599 eV per atom. Number 6: calculated formation energy 0.531 eV per atom. Number 7: calculated formation energy 0.496 eV per atom. Number 8: calculated formation energy 0.460 eV per atom. Number 9: calculated formation energy 0.524 eV per atom. Number 10: calculated formation energy 0.335 eV per atom. Number 11: calculated formation energy 0.639 eV per atom. Number 12: calculated formation energy 0.565 eV per atom. Number 13: calculated formation energy 0.637 eV per atom. Number 14: calculated formation energy 0.600 eV per atom. Number 15: calculated formation energy 1.108 eV per atom. Number 16: calculated formation energy 0.547 eV per atom. Number 17: calculated formation energy 0.694 eV per atom. Number 18: calculated formation energy 0.628 eV per atom. Number 19: calculated formation energy 0.746 eV per atom. Number 20: calculated formation energy 0.779 eV per atom.